Crystalline ScCd2Cl at its relaxed geometry, computed with PBEsol.

CIF file:
```
data_ScCd2Cl
_chemical_formula_sum 'Sc1 Cd2 Cl1'
_space_group_name_H-M_alt 'P 1'
_space_group_IT_number 1
_cell_length_a 3.2247
_cell_length_b 5.3782
_cell_length_c 5.9961
_cell_angle_alpha 116.65
_cell_angle_beta 105.60
_cell_angle_gamma 90.00
loop_
_space_group_symop_operation_xyz
'x,y,z'
loop_
_atom_site_label
_atom_site_type_symbol
_atom_site_fract_x
_atom_site_fract_y
_atom_site_fract_z
Cd1 Cd 0.9782 0.9782 0.9565
Cd2 Cd 0.7549 0.2549 0.5099
Cl1 Cl 0.5410 0.5410 0.0821
Sc1 Sc 0.2258 0.7258 0.4516
```

SG	Imm2
magnetization	0.00	Bohr magnetons per cell
raw total energy	-3.255	eV/atom
energy relative to the elements, uncorrected	-502.9	meV per atom